(1)
First-principles (GGA-PBE) data for an optimized crystal structure of Ce12Bi6C, as listed in the Alexandria database. Values from VASP.

Properties
Crystal system   trigonal
E_form   -7.6 eV/f.u.

The structure in Quantum ESPRESSO input format:
```
&SYSTEM
  ibrav = 0, nat = 19, ntyp = 3
/
ATOMIC_SPECIES
Ce 140.12 Ce.upf
Bi 208.98 Bi.upf
C 12.01 C.upf
ATOMIC_POSITIONS crystal
Ce 0.0215 0.9325 0.6966
Ce 0.0675 0.3035 0.9785
Ce 0.1469 0.3729 0.4639
Ce 0.3034 0.9785 0.0675
Ce 0.3729 0.4639 0.1469
Ce 0.4639 0.1469 0.3729
Ce 0.5361 0.8531 0.6271
Ce 0.6271 0.5361 0.8531
Ce 0.6966 0.0215 0.9325
Ce 0.8531 0.6271 0.5361
Ce 0.9325 0.6966 0.0215
Ce 0.9785 0.0675 0.3034
Bi 0.1939 0.7600 0.3625
Bi 0.2400 0.6375 0.8061
Bi 0.3625 0.1939 0.7600
Bi 0.6375 0.8061 0.2400
Bi 0.7600 0.3625 0.1939
Bi 0.8061 0.2400 0.6375
C 0.0000 0.0000 0.0000
CELL_PARAMETERS angstrom
6.1604 3.5567 4.1511
-6.1604 3.5567 4.1511
0.0000 -7.1134 4.1511
```

=====

(2)
First-principles (GGA-PBE) data for an optimized crystal structure of Th2InSe, as listed in the Alexandria database. Values from VASP.

Properties
Crystal system   tetragonal
ΔE_f (raw)   -0.826 eV per atom

The structure in Quantum ESPRESSO input format:
```
&SYSTEM
  ibrav = 0, nat = 4, ntyp = 3
/
ATOMIC_SPECIES
Th 232.04 Th.upf
In 114.82 In.upf
Se 78.96 Se.upf
ATOMIC_POSITIONS crystal
Th 0.0000 0.0000 0.2302
Th 0.0000 0.0000 0.7698
In 0.5000 0.5000 0.5000
Se 0.5000 0.5000 0.0000
CELL_PARAMETERS angstrom
3.5798 0.0000 0.0000
0.0000 3.5798 0.0000
0.0000 0.0000 8.3081
```

=====

(3)
First-principles (GGA-PBE) data for an optimized crystal structure of Sr2MgGaMo, as listed in the Alexandria database. Values from VASP.

Properties
Crystal system   tetragonal
E_form   4.3 eV/f.u.

The structure in Quantum ESPRESSO input format:
```
&SYSTEM
  ibrav = 0, nat = 5, ntyp = 4
/
ATOMIC_SPECIES
Sr 87.62 Sr.upf
Mg 24.30 Mg.upf
Ga 69.72 Ga.upf
Mo 95.94 Mo.upf
ATOMIC_POSITIONS crystal
Sr 0.0000 0.5000 0.0000
Sr 0.5000 0.0000 0.0000
Mg 0.0000 0.0000 0.5000
Ga 0.5000 0.5000 0.5000
Mo 0.0000 0.0000 0.0000
CELL_PARAMETERS angstrom
5.6265 0.0000 0.0000
0.0000 5.6265 0.0000
0.0000 0.0000 5.3045
```

=====

(4)
First-principles (GGA-PBE) data for an optimized crystal structure of Ca3ZnPt, as listed in the Alexandria database. Values from VASP.

Properties
Crystal system   monoclinic
E_form   -2.7 eV/f.u.

The structure in Quantum ESPRESSO input format:
```
&SYSTEM
  ibrav = 0, nat = 20, ntyp = 3
/
ATOMIC_SPECIES
Ca 40.08 Ca.upf
Zn 65.41 Zn.upf
Pt 195.08 Pt.upf
ATOMIC_POSITIONS crystal
Ca 0.1724 0.1415 0.4119
Ca 0.1724 0.3585 0.9119
Ca 0.2161 0.5329 0.6055
Ca 0.2161 0.9671 0.1055
Ca 0.2921 0.5203 0.2259
Ca 0.2921 0.9797 0.7259
Ca 0.7079 0.0203 0.2741
Ca 0.7079 0.4797 0.7741
Ca 0.7839 0.0329 0.8945
Ca 0.7839 0.4671 0.3945
Ca 0.8276 0.6415 0.0881
Ca 0.8276 0.8585 0.5881
Zn 0.4138 0.6948 0.9367
Zn 0.4138 0.8052 0.4367
Zn 0.5862 0.1948 0.5633
Zn 0.5862 0.3052 0.0633
Pt 0.0491 0.7228 0.8501
Pt 0.0491 0.7772 0.3501
Pt 0.9509 0.2228 0.6499
Pt 0.9509 0.2772 0.1499
CELL_PARAMETERS angstrom
6.7709 0.0000 0.0000
0.0000 7.8103 0.0000
-0.2288 0.0000 10.2499
```

=====

(5)
First-principles (GGA-PBE) data for an optimized crystal structure of Nd2Dy4HoEr2, as listed in the Alexandria database. Values from VASP.

Properties
Crystal system   triclinic
E_form   0.8 eV/f.u.

The structure in Quantum ESPRESSO input format:
```
&SYSTEM
  ibrav = 0, nat = 9, ntyp = 4
/
ATOMIC_SPECIES
Nd 144.24 Nd.upf
Dy 162.50 Dy.upf
Ho 164.93 Ho.upf
Er 167.26 Er.upf
ATOMIC_POSITIONS crystal
Nd 0.2308 0.3248 0.3417
Nd 0.7692 0.6752 0.6583
Dy 0.1160 0.1262 0.7631
Dy 0.2412 0.5739 0.8851
Dy 0.7588 0.4261 0.1149
Dy 0.8840 0.8738 0.2369
Ho 0.5000 0.0000 0.0000
Er 0.3221 0.7702 0.4447
Er 0.6779 0.2298 0.5553
CELL_PARAMETERS angstrom
5.9985 0.0000 0.0000
2.7810 6.0042 0.0000
2.8797 0.3400 8.0571
```

=====

(6)
First-principles (GGA-PBE) data for an optimized crystal structure of Sr2CS, as listed in the Alexandria database. Values from VASP.

Properties
Crystal system   cubic
ΔE_f (raw)   -0.089 eV per atom

The structure in Quantum ESPRESSO input format:
```
&SYSTEM
  ibrav = 0, nat = 16, ntyp = 3
/
ATOMIC_SPECIES
Sr 87.62 Sr.upf
C 12.01 C.upf
S 32.06 S.upf
ATOMIC_POSITIONS crystal
Sr 0.2500 0.2500 0.2500
Sr 0.2500 0.2500 0.7500
Sr 0.2500 0.7500 0.2500
Sr 0.2500 0.7500 0.7500
Sr 0.7500 0.2500 0.2500
Sr 0.7500 0.2500 0.7500
Sr 0.7500 0.7500 0.2500
Sr 0.7500 0.7500 0.7500
C 0.0000 0.0000 0.0000
C 0.0000 0.5000 0.5000
C 0.5000 0.0000 0.5000
C 0.5000 0.5000 0.0000
S 0.0000 0.0000 0.5000
S 0.0000 0.5000 0.0000
S 0.5000 0.0000 0.0000
S 0.5000 0.5000 0.5000
CELL_PARAMETERS angstrom
7.1005 0.0000 0.0000
0.0000 7.1005 0.0000
0.0000 0.0000 7.1005
```

=====

(7)
First-principles (GGA-PBE) data for an optimized crystal structure of Pr2DyCuS5, as listed in the Alexandria database. Values from VASP.

Properties
Crystal system   orthorhombic
ΔE_f (raw)   -1.757 eV per atom

The structure in Quantum ESPRESSO input format:
```
&SYSTEM
  ibrav = 0, nat = 18, ntyp = 4
/
ATOMIC_SPECIES
Pr 140.91 Pr.upf
Dy 162.50 Dy.upf
Cu 63.55 Cu.upf
S 32.06 S.upf
ATOMIC_POSITIONS crystal
Pr 0.1088 0.8912 0.5000
Pr 0.1220 0.8780 0.1250
Pr 0.8780 0.1220 0.6250
Pr 0.8912 0.1088 0.0000
Dy 0.1947 0.8053 0.8239
Dy 0.8053 0.1947 0.3239
Cu 0.4423 0.5577 0.2677
Cu 0.5577 0.4423 0.7677
S 0.0430 0.9570 0.8712
S 0.2893 0.7107 0.4862
S 0.3138 0.6862 0.1634
S 0.3564 0.6436 0.8157
S 0.4988 0.5012 0.5925
S 0.5012 0.4988 0.0925
S 0.6436 0.3564 0.3157
S 0.6862 0.3138 0.6634
S 0.7107 0.2893 0.9862
S 0.9570 0.0430 0.3712
CELL_PARAMETERS angstrom
1.9704 -8.4863 0.0000
1.9704 8.4863 0.0000
0.0000 0.0000 11.7041
```

=====

(8)
First-principles (GGA-PBE) data for an optimized crystal structure of Ac4GaPb2, as listed in the Alexandria database. Values from VASP.

Properties
Crystal system   tetragonal
E_form   -1.6 eV/f.u.

The structure in Quantum ESPRESSO input format:
```
&SYSTEM
  ibrav = 0, nat = 14, ntyp = 3
/
ATOMIC_SPECIES
Ac 227.00 Ac.upf
Ga 69.72 Ga.upf
Pb 207.20 Pb.upf
ATOMIC_POSITIONS crystal
Ac 0.0000 0.0000 0.1802
Ac 0.0000 0.0000 0.8198
Ac 0.0000 0.5000 0.0000
Ac 0.0000 0.5000 0.5000
Ac 0.5000 0.0000 0.0000
Ac 0.5000 0.0000 0.5000
Ac 0.5000 0.5000 0.3198
Ac 0.5000 0.5000 0.6802
Ga 0.0000 0.0000 0.0000
Ga 0.5000 0.5000 0.5000
Pb 0.0000 0.0000 0.3692
Pb 0.0000 0.0000 0.6308
Pb 0.5000 0.5000 0.1308
Pb 0.5000 0.5000 0.8692
CELL_PARAMETERS angstrom
5.7436 0.0000 0.0000
0.0000 5.7436 0.0000
0.0000 0.0000 17.9053
```